Computed, not measured: crystalline Sc3Cd2Ag at its relaxed geometry at the PBE level of DFT.

Lattice parameters (Å, degrees): 3.5048 3.5048 10.5066 90.00 90.00 90.00
Fractional coordinates of all 6 atoms:
Sc  0.0000  0.0000  0.0000
Sc  0.0000  0.0000  0.3415
Sc  0.0000  0.0000  0.6585
Cd  0.5000  0.5000  0.1685
Cd  0.5000  0.5000  0.8315
Ag  0.5000  0.5000  0.5000

Properties
space group: P4/mmm (123)
magnetization: 0.00 μB/cell
DFT formation energy: -27.4 kJ/mol of atoms
calculated total energy: -4.230 eV per atom

=====

Computed, not measured: crystalline ScCd2Ag at its relaxed geometry at the PBE level of DFT.

Lattice parameters (Å, degrees): 3.1977 3.1977 29.0865 90.00 90.00 120.00
Fractional coordinates of all 12 atoms:
Sc  0.0000  0.0000  0.0000
Sc  0.3333  0.6667  0.6667
Sc  0.6667  0.3333  0.3333
Cd  0.0000  0.0000  0.5805
Cd  0.0000  0.0000  0.7534
Cd  0.3333  0.6667  0.2471
Cd  0.3333  0.6667  0.4200
Cd  0.6667  0.3333  0.0867
Cd  0.6667  0.3333  0.9138
Ag  0.0000  0.0000  0.1673
Ag  0.3333  0.6667  0.8340
Ag  0.6667  0.3333  0.5007

Properties
space group: R3m (160)
magnetization: 0.00 μB/cell
DFT formation energy: -5.7 kJ/mol of atoms
calculated total energy: -2.813 eV per atom

=====

Computed, not measured: crystalline ScCd2Ag at its relaxed geometry at the PBE level of DFT.

Lattice parameters (Å, degrees): 7.9508 7.9508 5.8411 90.00 90.00 90.00
Fractional coordinates of all 16 atoms:
Sc  0.0000  0.0000  0.0000
Sc  0.0000  0.5000  0.2500
Sc  0.5000  0.0000  0.7500
Sc  0.5000  0.5000  0.5000
Cd  0.2282  0.7500  0.6250
Cd  0.2500  0.2282  0.3750
Cd  0.2500  0.2718  0.8750
Cd  0.2718  0.7500  0.1250
Cd  0.7282  0.2500  0.1250
Cd  0.7500  0.7282  0.8750
Cd  0.7500  0.7718  0.3750
Cd  0.7718  0.2500  0.6250
Ag  0.0000  0.0000  0.5000
Ag  0.0000  0.5000  0.7500
Ag  0.5000  0.0000  0.2500
Ag  0.5000  0.5000  0.0000

Properties
space group: I-42d (122)
magnetization: 0.00 μB/cell
DFT formation energy: 7.6 kJ/mol of atoms
calculated total energy: -2.675 eV per atom

=====

Computed, not measured: crystalline ScCd2Ag at its relaxed geometry at the PBE level of DFT.

Lattice parameters (Å, degrees): 9.8272 3.2092 5.4255 90.00 100.28 90.00
Fractional coordinates of all 8 atoms:
Sc  0.0000  0.0000  0.0000
Sc  0.5000  0.5000  0.0000
Cd  0.0063  0.5000  0.5132
Cd  0.2536  0.5000  0.2684
Cd  0.5063  0.0000  0.5132
Cd  0.7536  0.0000  0.2684
Ag  0.2540  0.0000  0.7746
Ag  0.7540  0.5000  0.7746

Properties
space group: Cm (8)
magnetization: 0.00 μB/cell
DFT formation energy: -13.0 kJ/mol of atoms
calculated total energy: -2.888 eV per atom

=====

Computed, not measured: crystalline Sc2Cd2Ag at its relaxed geometry at the PBE level of DFT.

Lattice parameters (Å, degrees): 4.0869 4.0869 14.1625 90.00 90.00 90.00
Fractional coordinates of all 10 atoms:
Sc  0.0000  0.5000  0.2500
Sc  0.0000  0.5000  0.7500
Sc  0.5000  0.0000  0.2500
Sc  0.5000  0.0000  0.7500
Cd  0.0000  0.0000  0.0952
Cd  0.0000  0.0000  0.9048
Cd  0.5000  0.5000  0.4048
Cd  0.5000  0.5000  0.5952
Ag  0.0000  0.0000  0.5000
Ag  0.5000  0.5000  0.0000

Properties
space group: I4/mmm (139)
ΔE to the lowest computed polymorph: 371.9 meV per atom
magnetization: 0.01 μB/cell
DFT formation energy: 20.0 kJ/mol of atoms
calculated total energy: -3.262 eV per atom

=====

Computed, not measured: crystalline ScCd4Ag at its relaxed geometry at the PBE level of DFT.

Lattice parameters (Å, degrees): 9.2971 5.0631 6.2407 90.00 118.56 90.00
Fractional coordinates of all 12 atoms:
Sc  0.0000  0.0000  0.0000
Sc  0.5000  0.5000  0.0000
Cd  0.1636  0.5000  0.4650
Cd  0.1655  0.5000  0.9716
Cd  0.3345  0.0000  0.0284
Cd  0.3364  0.0000  0.5350
Cd  0.6636  0.0000  0.4650
Cd  0.6655  0.0000  0.9716
Cd  0.8345  0.5000  0.0284
Cd  0.8364  0.5000  0.5350
Ag  0.0000  0.0000  0.5000
Ag  0.5000  0.5000  0.5000

Properties
space group: C2/m (12)
ΔE to the lowest computed polymorph: 44.0 meV per atom
magnetization: 0.00 μB/cell
DFT formation energy: -7.3 kJ/mol of atoms
calculated total energy: -2.217 eV per atom

=====

Computed, not measured: crystalline ScCd5Ag6 at its relaxed geometry at the PBE level of DFT.

Lattice parameters (Å, degrees): 7.9953 7.9953 7.9953 148.36 117.81 71.46
Fractional coordinates of all 12 atoms:
Sc  0.0000  0.0000  0.0000
Cd  0.1660  0.6660  0.5000
Cd  0.3304  0.3304  0.0000
Cd  0.5000  0.0000  0.5000
Cd  0.6696  0.6696  0.0000
Cd  0.8340  0.3340  0.5000
Ag  0.0875  0.8361  0.2514
Ag  0.2498  0.5000  0.7498
Ag  0.4153  0.1639  0.2514
Ag  0.5847  0.8361  0.7486
Ag  0.7502  0.5000  0.2502
Ag  0.9125  0.1639  0.7486

Properties
space group: Immm (71)
ΔE to the lowest computed polymorph: 5.8 meV per atom
magnetization: 0.00 μB/cell
DFT formation energy: -8.7 kJ/mol of atoms
calculated total energy: -2.424 eV per atom

=====

Computed, not measured: crystalline ScCd2Ag4 at its relaxed geometry at the PBE level of DFT.

Lattice parameters (Å, degrees): 7.0475 7.0475 6.0109 90.00 90.00 90.00
Fractional coordinates of all 14 atoms:
Sc  0.0000  0.0000  0.0000
Sc  0.5000  0.5000  0.5000
Cd  0.0000  0.5000  0.0000
Cd  0.0000  0.5000  0.5000
Cd  0.5000  0.0000  0.0000
Cd  0.5000  0.0000  0.5000
Ag  0.2500  0.2500  0.2500
Ag  0.2500  0.2500  0.7500
Ag  0.2500  0.7500  0.2500
Ag  0.2500  0.7500  0.7500
Ag  0.7500  0.2500  0.2500
Ag  0.7500  0.2500  0.7500
Ag  0.7500  0.7500  0.2500
Ag  0.7500  0.7500  0.7500

Properties
space group: I4/mmm (139)
ΔE to the lowest computed polymorph: 193.2 meV per atom
magnetization: 0.00 μB/cell
DFT formation energy: 5.9 kJ/mol of atoms
calculated total energy: -2.734 eV per atom

=====

Computed, not measured: crystalline Sc3CdAg at its relaxed geometry at the PBE level of DFT.

Lattice parameters (Å, degrees): 9.8525 9.8525 4.7985 90.00 90.00 151.77
Fractional coordinates of all 10 atoms:
Sc  0.0568  0.9432  0.7500
Sc  0.2498  0.7502  0.7500
Sc  0.4415  0.5585  0.7500
Sc  0.5585  0.4415  0.2500
Sc  0.7502  0.2498  0.2500
Sc  0.9432  0.0568  0.2500
Cd  0.1535  0.8465  0.2500
Cd  0.8465  0.1535  0.7500
Ag  0.3438  0.6562  0.2500
Ag  0.6562  0.3438  0.7500

Properties
space group: Cmcm (63)
ΔE to the lowest computed polymorph: 0.0 meV per atom
magnetization: 2.04 μB/cell
DFT formation energy: -18.7 kJ/mol of atoms
calculated total energy: -4.746 eV per atom

=====

Computed, not measured: crystalline ScCd2Ag at its relaxed geometry at the PBE level of DFT.

Lattice parameters (Å, degrees): 4.8430 4.8430 6.9033 90.00 90.00 90.00
Fractional coordinates of all 8 atoms:
Sc  0.0000  0.0000  0.0000
Sc  0.5000  0.5000  0.5000
Cd  0.0000  0.0000  0.5000
Cd  0.0000  0.5000  0.2500
Cd  0.5000  0.0000  0.7500
Cd  0.5000  0.5000  0.0000
Ag  0.0000  0.5000  0.7500
Ag  0.5000  0.0000  0.2500

Properties
space group: I-4m2 (119)
magnetization: 0.00 μB/cell
DFT formation energy: -22.0 kJ/mol of atoms
calculated total energy: -2.981 eV per atom

=====

Computed, not measured: crystalline ScCd2Ag at its relaxed geometry at the PBE level of DFT.

Lattice parameters (Å, degrees): 3.0919 4.5961 6.1368 90.00 104.40 90.00
Fractional coordinates of all 4 atoms:
Sc  0.0000  0.0000  0.0000
Cd  0.3555  0.5000  0.7115
Cd  0.7381  0.0000  0.4782
Ag  0.5993  0.5000  0.2006

Properties
space group: Pm (6)
magnetization: 0.30 μB/cell
DFT formation energy: -13.5 kJ/mol of atoms
calculated total energy: -2.893 eV per atom

=====

Computed, not measured: crystalline ScCd3Ag at its relaxed geometry at the PBE level of DFT.

Lattice parameters (Å, degrees): 5.1224 5.1224 5.1224 90.00 90.00 90.00
Fractional coordinates of all 5 atoms:
Sc  0.0000  0.0000  0.0000
Cd  0.0000  0.5000  0.5000
Cd  0.5000  0.0000  0.5000
Cd  0.5000  0.5000  0.0000
Ag  0.5000  0.5000  0.5000

Properties
space group: Pm-3m (221)
ΔE to the lowest computed polymorph: 500.8 meV per atom
magnetization: 0.00 μB/cell
DFT formation energy: 34.5 kJ/mol of atoms
calculated total energy: -2.028 eV per atom

=====

Question: Which value of magnetization does entry 11 give?
Answer: 0.30 μB/cell